Model A:
VASP calculation (PBE) on SrAcLaMg after structural relaxation.

a = 3.9558 Å, b = 3.9558 Å, c = 10.1047 Å
α = 90.00°, β = 90.00°, γ = 90.00°
Last column: nearest neighbours and their distance in Å.
Space group P4mm (No. 99)
Inequivalent atoms, fractional coordinates:
Sr 0.0000 0.0000 0.0000 x1  4 Mg 3.63, 4 Sr 3.96
Ac 0.5000 0.5000 0.6871 x1  4 La 3.81, 4 Ac 3.96, 4 Sr 4.22
La 0.0000 0.0000 0.4313 x1  4 Mg 3.47, 4 Ac 3.81
Mg 0.5000 0.5000 0.2286 x1  4 La 3.47, 4 Sr 3.63

Model B:
VASP calculation (PBE) on SrAcLaMg after structural relaxation.

a = 8.5680 Å, b = 8.5680 Å, c = 8.5680 Å
α = 90.00°, β = 90.00°, γ = 90.00°
Last column: nearest neighbours and their distance in Å.
Space group F-43m (No. 216)
Inequivalent atoms, fractional coordinates:
Sr 0.0000 0.0000 0.0000 x4  4 Mg 3.71, 4 Ac 3.71
Ac 0.2500 0.2500 0.7500 x4  4 La 3.71, 4 Sr 3.71
La 0.0000 0.0000 0.5000 x4  4 Ac 3.71, 4 Mg 3.71
Mg 0.2500 0.2500 0.2500 x4  4 La 3.71, 4 Sr 3.71

Stability verdict: model A, ahead by 148 meV/atom

Model A:
VASP calculation (PBE) on AcLaTbMg after structural relaxation.

a = 8.2054 Å, b = 8.2054 Å, c = 8.2054 Å
α = 90.00°, β = 90.00°, γ = 90.00°
Last column: nearest neighbours and their distance in Å.
Space group F-43m (No. 216)
Inequivalent atoms, fractional coordinates:
Ac 0.0000 0.0000 0.0000 x4  4 Tb 3.55, 4 La 3.55
La 0.2500 0.2500 0.2500 x4  4 Ac 3.55, 4 Mg 3.55
Tb 0.2500 0.2500 0.7500 x4  4 Ac 3.55, 4 Mg 3.55
Mg 0.0000 0.0000 0.5000 x4  4 Tb 3.55, 4 La 3.55

Model B:
VASP calculation (PBE) on AcLaTbMg after structural relaxation.

a = 8.2136 Å, b = 8.2136 Å, c = 8.2136 Å
α = 90.00°, β = 90.00°, γ = 90.00°
Last column: nearest neighbours and their distance in Å.
Space group F-43m (No. 216)
Inequivalent atoms, fractional coordinates:
Ac 0.0000 0.0000 0.0000 x4  4 Mg 3.56, 4 Tb 3.56
La 0.0000 0.0000 0.5000 x4  4 Tb 3.56, 4 Mg 3.56
Tb 0.2500 0.2500 0.7500 x4  4 Ac 3.56, 4 La 3.56
Mg 0.2500 0.2500 0.2500 x4  4 La 3.56, 4 Ac 3.56

Model C:
VASP calculation (PBE) on AcLaTbMg after structural relaxation.

a = 3.8579 Å, b = 3.8579 Å, c = 9.1931 Å
α = 90.00°, β = 90.00°, γ = 90.00°
Last column: nearest neighbours and their distance in Å.
Space group P4mm (No. 99)
Inequivalent atoms, fractional coordinates:
Ac 0.0000 0.0000 0.0000 x1  4 Tb 3.74, 4 La 3.84, 4 Ac 3.86
La 0.5000 0.5000 0.7058 x1  4 Mg 3.44, 4 Ac 3.84
Tb 0.5000 0.5000 0.2777 x1  4 Mg 3.29
Mg 0.0000 0.0000 0.4774 x1  4 Tb 3.29, 4 La 3.44

Stability verdict: model C, ahead by 57 meV/atom

Model A:
VASP calculation (PBE) on AcLaTmMg after structural relaxation.

a = 8.1665 Å, b = 8.1665 Å, c = 8.1665 Å
α = 90.00°, β = 90.00°, γ = 90.00°
Last column: nearest neighbours and their distance in Å.
Space group F-43m (No. 216)
Inequivalent atoms, fractional coordinates:
Ac 0.0000 0.0000 0.0000 x4  4 Tm 3.54, 4 Mg 3.54
La 0.0000 0.0000 0.5000 x4  4 Mg 3.54, 4 Tm 3.54
Tm 0.2500 0.2500 0.7500 x4  4 La 3.54, 4 Ac 3.54
Mg 0.2500 0.2500 0.2500 x4  4 Ac 3.54, 4 La 3.54

Model B:
VASP calculation (PBE) on AcLaTmMg after structural relaxation.

a = 3.8354 Å, b = 3.8354 Å, c = 9.1684 Å
α = 90.00°, β = 90.00°, γ = 90.00°
Last column: nearest neighbours and their distance in Å.
Space group P4mm (No. 99)
Inequivalent atoms, fractional coordinates:
Ac 0.0000 0.0000 0.0000 x1  4 Tm 3.71, 4 Ac 3.84, 4 La 3.85
La 0.5000 0.5000 0.7017 x1  4 Mg 3.44, 4 La 3.84, 4 Ac 3.85
Tm 0.5000 0.5000 0.2753 x1  4 Mg 3.25
Mg 0.0000 0.0000 0.4704 x1  4 Tm 3.25, 4 La 3.44

Stability verdict: model B, ahead by 29 meV/atom

Model A:
VASP calculation (PBE) on AcLaYMg after structural relaxation.

a = 8.2122 Å, b = 8.2122 Å, c = 8.2122 Å
α = 90.00°, β = 90.00°, γ = 90.00°
Last column: nearest neighbours and their distance in Å.
Space group F-43m (No. 216)
Inequivalent atoms, fractional coordinates:
Ac 0.0000 0.0000 0.0000 x4  4 La 3.56, 4 Y 3.56
La 0.2500 0.2500 0.7500 x4  4 Ac 3.56, 4 Mg 3.56
Y 0.2500 0.2500 0.2500 x4  4 Mg 3.56, 4 Ac 3.56
Mg 0.0000 0.0000 0.5000 x4  4 La 3.56, 4 Y 3.56

Model B:
VASP calculation (PBE) on AcLaYMg after structural relaxation.

a = 3.8578 Å, b = 3.8578 Å, c = 9.2028 Å
α = 90.00°, β = 90.00°, γ = 90.00°
Last column: nearest neighbours and their distance in Å.
Space group P4mm (No. 99)
Inequivalent atoms, fractional coordinates:
Ac 0.0000 0.0000 0.0000 x1  4 Y 3.75, 4 La 3.84, 4 Ac 3.86
La 0.5000 0.5000 0.7067 x1  4 Mg 3.45, 4 Ac 3.84, 4 La 3.86
Y 0.5000 0.5000 0.2793 x1  4 Mg 3.28
Mg 0.0000 0.0000 0.4777 x1  4 Y 3.28, 4 La 3.45

Stability verdict: model B, ahead by 135 meV/atom

Model A:
VASP calculation (PBE) on AcLaMgZn after structural relaxation.

a = 3.9121 Å, b = 3.9121 Å, c = 7.9798 Å
α = 90.00°, β = 90.00°, γ = 90.00°
Last column: nearest neighbours and their distance in Å.
Space group P4mm (No. 99)
Inequivalent atoms, fractional coordinates:
Ac 0.0000 0.0000 0.0000 x1  4 Zn 3.40, 4 Mg 3.58, 1 La 3.65
La 0.0000 0.0000 0.4571 x1  4 Zn 3.23, 4 Mg 3.45
Mg 0.5000 0.5000 0.7148 x1  4 La 3.45, 4 Ac 3.58, 1 Zn 3.72
Zn 0.5000 0.5000 0.2484 x1  4 La 3.23, 4 Ac 3.40

Model B:
VASP calculation (PBE) on AcLaMgZn after structural relaxation.

a = 7.8622 Å, b = 7.8622 Å, c = 7.8622 Å
α = 90.00°, β = 90.00°, γ = 90.00°
Last column: nearest neighbours and their distance in Å.
Space group F-43m (No. 216)
Inequivalent atoms, fractional coordinates:
Ac 0.0000 0.0000 0.0000 x4  4 Zn 3.40, 4 Mg 3.40
La 0.0000 0.0000 0.5000 x4  4 Mg 3.40, 4 Zn 3.40
Mg 0.2500 0.2500 0.2500 x4  4 Ac 3.40, 4 La 3.40
Zn 0.2500 0.2500 0.7500 x4  4 Ac 3.40, 4 La 3.40

Stability verdict: model A, ahead by 32 meV/atom

Model A:
VASP calculation (PBE) on NaAc2La after structural relaxation.

a = 3.8692 Å, b = 3.8692 Å, c = 11.1734 Å
α = 90.00°, β = 90.00°, γ = 90.00°
Last column: nearest neighbours and their distance in Å.
Space group P4/mmm (No. 123)
Inequivalent atoms, fractional coordinates:
Na 0.0000 0.0000 0.0000 x1  4 Na 3.87, 8 Ac 4.01
Ac 0.5000 0.5000 0.2618 x2  4 La 3.82, 4 Ac 3.87, 4 Na 4.01
La 0.0000 0.0000 0.5000 x1  8 Ac 3.82, 4 La 3.87

Model B:
VASP calculation (PBE) on NaAc2La after structural relaxation.

a = 6.3735 Å, b = 6.3735 Å, c = 3.9932 Å
α = 90.00°, β = 90.00°, γ = 90.00°
Last column: nearest neighbours and their distance in Å.
Space group P4/mmm (No. 123)
Inequivalent atoms, fractional coordinates:
Na 0.0000 0.0000 0.0000 x1  8 Ac 3.76, 2 Na 3.99
Ac 0.0000 0.5000 0.5000 x2  4 La 3.76, 4 Na 3.76, 2 Ac 3.99
La 0.5000 0.5000 0.0000 x1  8 Ac 3.76, 2 La 3.99

Model C:
VASP calculation (PBE) on NaAc2La after structural relaxation.

a = 3.8725 Å, b = 3.8725 Å, c = 13.2225 Å
α = 90.00°, β = 90.00°, γ = 120.00°
Last column: nearest neighbours and their distance in Å.
Space group P3m1 (No. 156)
Inequivalent atoms, fractional coordinates:
Na 0.0000 0.0000 0.0000 x1  4 Ac 3.73-4.00, 6 Na 3.87
Ac 0.0000 0.0000 0.7178 x1  1 Na 3.73, 3 La 3.80, 6 Ac 3.87
Ac 0.6667 0.3333 0.2508 x1  3 La 3.82, 6 Ac 3.87, 3 Na 4.00
La 0.3333 0.6667 0.4854 x1  6 Ac 3.80-3.82, 6 La 3.87

Model D:
VASP calculation (PBE) on NaAc2La after structural relaxation.

a = 8.7058 Å, b = 8.7058 Å, c = 8.7058 Å
α = 90.00°, β = 90.00°, γ = 90.00°
Last column: nearest neighbours and their distance in Å.
Space group F-43m (No. 216)
Inequivalent atoms, fractional coordinates:
Na 0.0000 0.0000 0.0000 x4  4 Ac 3.77, 4 La 3.77
Ac 0.0000 0.0000 0.5000 x4  4 Ac 3.77, 4 La 3.77
Ac 0.2500 0.2500 0.2500 x4  4 Ac 3.77, 4 Na 3.77
La 0.2500 0.2500 0.7500 x4  4 Ac 3.77, 4 Na 3.77

Stability verdict: model A, ahead by 23 meV/atom

Model A:
VASP calculation (PBE) on Ac5La2Nd2 after structural relaxation.

a = 5.4735 Å, b = 6.7190 Å, c = 11.5933 Å
α = 73.54°, β = 76.41°, γ = 65.97°
Last column: nearest neighbours and their distance in Å.
Space group P-1 (No. 2)
Inequivalent atoms, fractional coordinates:
Ac 0.0000 0.0000 0.0000 x1  6 Ac 3.87-3.91, 2 La 3.87, 4 Nd 3.89
Ac 0.3340 0.7780 0.5544 x2  3 Nd 3.85, 4 Ac 3.86-3.87, 5 La 3.86-3.88
Ac 0.3359 0.4416 0.8860 x2  2 La 3.83-3.84, 6 Ac 3.87-3.92, 4 Nd 3.87-3.92
La 0.9998 0.3339 0.6672 x2  8 Ac 3.83-3.88, 3 Nd 3.83-3.89, 1 La 3.89
Nd 0.3306 0.1138 0.2249 x2  3 La 3.83-3.89, 9 Ac 3.85-3.92

Model B:
VASP calculation (PBE) on Ac5La2Nd2 after structural relaxation.

a = 18.0263 Å, b = 9.3954 Å, c = 8.9274 Å
α = 90.00°, β = 90.00°, γ = 90.00°
Last column: nearest neighbours and their distance in Å.
Space group Cmce (No. 64)
Inequivalent atoms, fractional coordinates:
Ac 0.0000 0.0000 0.0000 x4  4 Nd 3.59-3.70, 2 La 3.92
Ac 0.1381 0.1934 0.3128 x16  2 Nd 3.49-3.76, 3 La 3.59-3.62
La 0.2174 0.0000 0.0000 x8  7 Ac 3.59-3.92
Nd 0.0000 0.1228 0.6198 x8  1 Nd 3.15, 2 Ac 3.49

Stability verdict: model A, ahead by 200 meV/atom

Model A:
VASP calculation (PBE) on Ac3La8Nd2 after structural relaxation.

a = 14.3441 Å, b = 12.0317 Å, c = 6.2880 Å
α = 90.00°, β = 111.61°, γ = 90.00°
Last column: nearest neighbours and their distance in Å.
Space group C2/m (No. 12)
Inequivalent atoms, fractional coordinates:
Ac 0.0000 0.0000 0.0000 x2  6 La 3.49-3.82
Ac 0.0000 0.2473 0.5000 x4  8 La 3.75-4.14, 2 Nd 4.13
La 0.0718 0.5000 0.2470 x4  1 La 3.03
La 0.1676 0.0000 0.5672 x4  1 Nd 3.47, 5 La 3.48-3.84, 3 Ac 3.49-3.75
La 0.1846 0.2417 0.1847 x8  2 Nd 3.48-3.76, 5 La 3.49-3.84, 2 Ac 3.82-3.85
Nd 0.1893 0.5000 0.8518 x4  8 La 3.47-3.76

Model B:
VASP calculation (PBE) on Ac3La8Nd2 after structural relaxation.

a = 21.4555 Å, b = 8.0687 Å, c = 5.9801 Å
α = 90.00°, β = 90.06°, γ = 90.00°
Last column: nearest neighbours and their distance in Å.
Space group C2/m (No. 12)
Inequivalent atoms, fractional coordinates:
Ac 0.0000 0.0000 0.0000 x2  4 La 3.42, 4 Ac 3.76
Ac 0.0000 0.2822 0.5000 x4  3 Ac 3.52-3.76, 6 La 3.71-3.84
La 0.1115 0.3035 0.9998 x8  1 La 3.17, 1 Ac 3.42, 1 Nd 3.55
La 0.1364 0.0000 0.4984 x4  2 Ac 3.71, 2 Nd 3.73-3.74, 7 La 3.89-4.13
La 0.1786 0.5000 0.5011 x4  2 Nd 3.45-3.46, 4 La 3.67-3.68
Nd 0.2406 0.0000 0.9980 x4  8 La 3.45-3.74

Stability verdict: model A, ahead by 90 meV/atom